No. 1
PBE Sc2Si2I, optimized geometry; space-group type = I4/mmm, No. 139; energy above the lowest structure with this stoichiometry = 0.0 meV/atom
1.0
3.712 0.000 0.000
0.000 3.712 0.000
0.000 0.000 15.070
Sc Si I
4 4 2
Direct
0.000 0.000 0.115 Sc
0.000 0.000 0.885 Sc
0.500 0.500 0.385 Sc
0.500 0.500 0.615 Sc
0.000 0.500 0.250 Si
0.000 0.500 0.750 Si
0.500 0.000 0.250 Si
0.500 0.000 0.750 Si
0.000 0.000 0.500 I
0.500 0.500 0.000 I

---

No. 2
PBE Sc4SiI5, optimized geometry; space-group type = C2/m, No. 12; energy above the lowest structure with this stoichiometry = 0.0 meV/atom
1.0
9.244 -2.006 0.000
9.244 2.006 0.000
-1.831 0.000 8.182
Sc Si I
4 1 5
Direct
0.000 0.000 0.205 Sc
0.000 0.000 0.795 Sc
0.359 0.359 0.929 Sc
0.641 0.641 0.071 Sc
0.500 0.500 0.000 Si
0.164 0.164 0.332 I
0.169 0.169 0.833 I
0.500 0.500 0.500 I
0.831 0.831 0.167 I
0.836 0.836 0.668 I

---

No. 3
PBE ScSi3I, optimized geometry; space-group type = Pm-3m, No. 221; energy above the lowest structure with this stoichiometry = 478.2 meV/atom
1.0
5.180 0.000 0.000
0.000 5.180 0.000
0.000 0.000 5.180
Sc Si I
1 3 1
Direct
0.000 0.000 0.000 Sc
0.000 0.500 0.500 Si
0.500 0.000 0.500 Si
0.500 0.500 0.000 Si
0.500 0.500 0.500 I

---

No. 4
PBE ScVSi2I, optimized geometry; space-group type = P4/mmm, No. 123
1.0
5.229 0.000 0.000
0.000 5.229 0.000
0.000 0.000 5.149
Sc V Si I
1 1 2 1
Direct
0.000 0.000 0.000 Sc
0.500 0.500 0.000 V
0.000 0.500 0.500 Si
0.500 0.000 0.500 Si
0.000 0.000 0.500 I

---

No. 5
PBE YSc2SiI, optimized geometry; space-group type = P4/mmm, No. 123
1.0
5.639 0.000 0.000
0.000 5.639 0.000
0.000 0.000 5.175
Y Sc Si I
1 2 1 1
Direct
0.000 0.000 0.000 Y
0.000 0.500 0.000 Sc
0.500 0.000 0.000 Sc
0.000 0.000 0.500 Si
0.500 0.500 0.500 I

---

No. 6
PBE ZrSc2SiI, optimized geometry; space-group type = P4/mmm, No. 123
1.0
5.151 0.000 0.000
0.000 5.151 0.000
0.000 0.000 5.311
Zr Sc Si I
1 2 1 1
Direct
0.000 0.000 0.000 Zr
0.000 0.500 0.500 Sc
0.500 0.000 0.500 Sc
0.500 0.500 0.000 Si
0.500 0.500 0.500 I

---

No. 7
PBE SmScI4, optimized geometry; space-group type = P2/m, No. 10
1.0
7.220 0.000 0.000
0.000 4.112 0.000
-2.298 0.000 7.944
Sm Sc I
1 1 4
Direct
0.000 0.000 0.000 Sm
0.500 0.500 0.000 Sc
0.262 0.500 0.246 I
0.272 0.000 0.767 I
0.728 0.000 0.233 I
0.738 0.500 0.754 I

---

No. 8
PBE Sm2ScI, optimized geometry; space-group type = P4/mmm, No. 123; energy above the lowest structure with this stoichiometry = 0.0 meV/atom
1.0
3.644 0.000 0.000
0.000 3.644 0.000
0.000 0.000 9.244
Sm Sc I
2 1 1
Direct
0.000 0.000 0.246 Sm
0.000 0.000 0.754 Sm
0.500 0.500 0.000 Sc
0.500 0.500 0.500 I

---

No. 9
PBE Sm2ScI6, optimized geometry; space-group type = C2/m, No. 12
1.0
8.169 -2.064 0.000
8.169 2.064 0.000
-6.694 0.000 11.064
Sm Sc I
2 1 6
Direct
0.171 0.171 0.285 Sm
0.829 0.829 0.715 Sm
0.500 0.500 0.000 Sc
0.164 0.164 0.539 I
0.294 0.294 0.877 I
0.493 0.493 0.771 I
0.507 0.507 0.229 I
0.706 0.706 0.123 I
0.836 0.836 0.461 I

---

No. 10
PBE Sm2ScI, optimized geometry; space-group type = R-3m, No. 166; energy above the lowest structure with this stoichiometry = 281.4 meV/atom
1.0
3.600 0.000 0.000
-1.800 3.117 0.000
0.000 0.000 34.084
Sm Sc I
6 3 3
Direct
0.000 0.000 0.092 Sm
0.000 0.000 0.908 Sm
0.333 0.667 0.575 Sm
0.333 0.667 0.759 Sm
0.667 0.333 0.241 Sm
0.667 0.333 0.425 Sm
0.000 0.000 0.000 Sc
0.333 0.667 0.667 Sc
0.667 0.333 0.333 Sc
0.000 0.000 0.500 I
0.333 0.667 0.167 I
0.667 0.333 0.833 I

---

No. 11
PBE SmScI2, optimized geometry; space-group type = R-3m, No. 166
1.0
3.841 0.000 0.000
-1.920 3.326 0.000
0.000 0.000 31.194
Sm Sc I
3 3 6
Direct
0.000 0.000 0.000 Sm
0.333 0.667 0.667 Sm
0.667 0.333 0.333 Sm
0.000 0.000 0.500 Sc
0.333 0.667 0.167 Sc
0.667 0.333 0.833 Sc
0.000 0.000 0.406 I
0.000 0.000 0.594 I
0.333 0.667 0.073 I
0.333 0.667 0.260 I
0.667 0.333 0.740 I
0.667 0.333 0.927 I

---

No. 12
PBE ScSn3I, optimized geometry; space-group type = Pm-3m, No. 221; energy above the lowest structure with this stoichiometry = 599.2 meV/atom
1.0
5.758 0.000 0.000
0.000 5.758 0.000
0.000 0.000 5.758
Sc Sn I
1 3 1
Direct
0.000 0.000 0.000 Sc
0.000 0.500 0.500 Sn
0.500 0.000 0.500 Sn
0.500 0.500 0.000 Sn
0.500 0.500 0.500 I

---

E_form (uncorrected) for every record listed, in sequence, given in kJ/mol of atoms: -47.9; -100.4; 134.4; 170.8; 81.6; 84.6; -113.6; -28.6; -113.7; -1.5; -55.7; 83.8.
VASP energy for every record listed, in sequence, given in eV/atom: -5.5083; -4.8907; -3.4369; -3.7989; -4.3738; -4.7598; -4.0523; -4.6269; -3.9644; -4.3454; -4.1147; -3.1091.